(1)
The following is a DFT calculation (PBE) of crystalline RbScMnTe4 at its relaxed geometry.

Cell: 7.459 6.296 10.402 Å, 90.00 107.48 90.00°
Each line ends with the local moment (μB).
Atoms (fractional coordinates):
Rb1 0.775 0.750 0.956  0.00
Rb2 0.225 0.250 0.044  0.00
Sc1 0.745 0.750 0.450  0.16
Sc2 0.255 0.250 0.550  0.16
Mn1 0.285 0.750 0.347  3.79
Mn2 0.715 0.250 0.653  3.79
Te1 0.017 0.505 0.691  0.00
Te2 0.983 0.005 0.309  0.00
Te3 0.983 0.495 0.309  0.00
Te4 0.017 0.995 0.691  0.00
Te5 0.470 0.750 0.174  -0.03
Te6 0.530 0.250 0.826  -0.03
Te7 0.463 0.750 0.603  -0.03
Te8 0.537 0.250 0.397  -0.03

Its space-group type is P2_1/m, No. 11. The calculation puts the formation energy without anion corrections at -0.663 eV per atom. The value obtained for the magnetic moment is 4.35 μB/f.u.

---

(2)
The following is a DFT calculation (PBE) of crystalline NaCd2BiH at its relaxed geometry.

Cell: 4.745 4.745 4.657 Å, 90.00 90.00 90.00°
Atoms (fractional coordinates):
Na1 0.000 0.000 0.500
Bi1 0.500 0.500 0.500
H1 0.000 0.000 0.000
Cd1 0.000 0.500 0.000
Cd2 0.500 0.000 0.000

Its space-group type is P4/mmm, No. 123. Its energy is -2.05 eV per atom. The value obtained for the magnetic moment is 0.00 μB/f.u.

---

(3)
The following is a DFT calculation (PBE) of crystalline YSi2Os at its relaxed geometry.

Cell: 7.388 7.388 7.388 Å, 155.78 153.82 35.97°
Atoms (fractional coordinates):
Os1 0.794 0.294 0.500
Si1 0.927 0.927 0.000
Si2 0.222 0.722 0.500
Y1 0.557 0.557 0.000

Its space-group type is Imm2, No. 44. The calculation puts the formation energy without anion corrections at -0.252 eV per atom. The value obtained for the magnetic moment is 0.00 μB/f.u.

---

(4)
The following is a DFT calculation (PBE) of crystalline CaPtS at its relaxed geometry.

Cell: 4.691 4.691 8.992 Å, 90.00 90.00 120.00°
Atoms (fractional coordinates):
Ca1 0.333 0.667 0.250
Ca2 0.667 0.333 0.750
S1 0.000 0.000 0.250
S2 0.000 0.000 0.750
Pt1 0.000 0.000 0.000
Pt2 0.000 0.000 0.500

Its space-group type is P6_3/mmc, No. 194. The calculation puts the formation energy without anion corrections at -0.866 eV per atom. The value obtained for the magnetic moment is 0.00 μB/f.u.

---

> magnetic moment of number 4 (CaPtS)?

0.00 μB/f.u.